1.
A plane-wave DFT calculation with PBE was carried out for a relaxed structure of SiAsRu.

## Properties
Raw formation energy   56 meV per atom
Distance to the lowest polymorph of the same formula   301 meV per atom

Unit cell a=4.740 b=4.740 c=4.740 alpha=139.32 beta=139.32 gamma=58.88
Last column: magnetic moment on the atom in μB.
Atoms (fractional coordinates):
Si (0.678, 0.678, 0.000)  0.00
As (0.004, 0.004, 0.000)  0.00
Ru (0.318, 0.318, 0.000)  0.09

=====

2.
A plane-wave DFT calculation with PBE was carried out for a relaxed structure of MgTe3.

## Properties
Raw formation energy   -294 meV per atom

Unit cell a=5.397 b=5.397 c=5.397 alpha=109.52 beta=109.52 gamma=109.52
Atoms (fractional coordinates):
Mg (0.000, 0.000, 0.000)
Te (0.500, 0.000, 0.500)
Te (0.000, 0.500, 0.500)
Te (0.500, 0.500, 0.000)

=====

3.
A plane-wave DFT calculation with PBE was carried out for a relaxed structure of MnCu2Ag.

## Properties
ΔE_f   0.220 eV/atom
Distance to the lowest polymorph of the same formula   72 meV per atom

Unit cell a=8.734 b=8.734 c=8.734 alpha=18.19 beta=18.19 gamma=18.19
Last column: magnetic moment on the atom in μB.
Atoms (fractional coordinates):
Cu (0.996, 0.996, 0.996)  0.06
Cu (0.504, 0.504, 0.504)  0.06
Mn (0.250, 0.250, 0.250)  3.29
Ag (0.750, 0.750, 0.750)  0.01

=====

4.
A plane-wave DFT calculation with PBE was carried out for a relaxed structure of BePbO2.

## Properties
Raw formation energy   -185 meV per atom
Distance to the lowest polymorph of the same formula   1589 meV per atom

Unit cell a=4.141 b=4.141 c=4.141 alpha=60.00 beta=60.00 gamma=60.00
Atoms (fractional coordinates):
O (0.750, 0.750, 0.750)
O (0.250, 0.250, 0.250)
Be (0.000, 0.000, 0.000)
Pb (0.500, 0.500, 0.500)

=====

5.
A plane-wave DFT calculation with PBE was carried out for a relaxed structure of CuRu4Pb.

## Properties
ΔE_f   0.709 eV/atom

Unit cell a=5.198 b=5.198 c=5.198 alpha=60.00 beta=60.00 gamma=60.00
Last column: magnetic moment on the atom in μB.
Atoms (fractional coordinates):
Cu (0.750, 0.750, 0.750)  0.06
Ru (0.375, 0.874, 0.375)  0.72
Ru (0.375, 0.375, 0.375)  0.72
Ru (0.375, 0.375, 0.874)  0.72
Ru (0.874, 0.375, 0.375)  0.72
Pb (0.000, 0.000, 0.000)  -0.01

=====

6.
A plane-wave DFT calculation with PBE was carried out for a relaxed structure of SrAlMo.

## Properties
ΔE_f   0.398 eV/atom
Distance to the lowest polymorph of the same formula   0 meV per atom

Unit cell a=6.249 b=6.249 c=6.249 alpha=146.88 beta=146.88 gamma=47.55
Atoms (fractional coordinates):
Al (0.940, 0.940, 0.000)
Sr (0.672, 0.672, 0.000)
Mo (0.387, 0.387, 0.000)

=====

7.
A plane-wave DFT calculation with PBE was carried out for a relaxed structure of Ca2ReP.

## Properties
ΔE_f   0.269 eV/atom

Unit cell a=5.416 b=6.870 c=2.863 alpha=65.37 beta=90.00 gamma=121.64
Atoms (fractional coordinates):
Ca (0.000, 0.500, 0.500)
Ca (0.000, 0.000, 0.000)
P (0.500, 0.500, 0.000)
Re (0.500, 0.000, 0.500)

=====

8.
A plane-wave DFT calculation with PBE was carried out for a relaxed structure of CaYRh2.

## Properties
ΔE_f   -0.243 eV/atom
Distance to the lowest polymorph of the same formula   382 meV per atom

Unit cell a=3.809 b=3.809 c=5.973 alpha=90.00 beta=90.00 gamma=89.98
Atoms (fractional coordinates):
Ca (0.500, 0.500, 0.813)
Rh (0.000, 0.000, 0.976)
Rh (0.500, 0.500, 0.286)
Y (0.000, 0.000, 0.424)

=====

9.
A plane-wave DFT calculation with PBE was carried out for a relaxed structure of CsTl2BiAu.

## Properties
ΔE_f   0.004 eV/atom
Distance to the lowest polymorph of the same formula   120 meV per atom

Unit cell a=5.762 b=5.762 c=5.904 alpha=90.00 beta=90.00 gamma=90.00
Atoms (fractional coordinates):
Tl (0.500, 0.000, 0.000)
Tl (0.000, 0.500, 0.000)
Au (0.000, 0.000, 0.000)
Cs (0.500, 0.500, 0.500)
Bi (0.000, 0.000, 0.500)

=====

10.
A plane-wave DFT calculation with PBE was carried out for a relaxed structure of Sr4Ca3Ag.

## Properties
ΔE_f   -0.056 eV/atom

Unit cell a=4.042 b=4.042 c=21.247 alpha=90.00 beta=90.00 gamma=90.00
Atoms (fractional coordinates):
Ca (0.500, 0.500, 0.500)
Ca (0.500, 0.500, 0.773)
Ca (0.500, 0.500, 0.227)
Ag (0.500, 0.500, 0.000)
Sr (0.000, 0.000, 0.089)
Sr (0.000, 0.000, 0.363)
Sr (0.000, 0.000, 0.637)
Sr (0.000, 0.000, 0.911)

=====

11.
A plane-wave DFT calculation with PBE was carried out for a relaxed structure of HfSc3Hg.

## Properties
ΔE_f   0.657 eV/atom
Distance to the lowest polymorph of the same formula   0 meV per atom

Unit cell a=5.223 b=5.223 c=5.223 alpha=90.00 beta=90.00 gamma=90.00
Last column: magnetic moment on the atom in μB.
Atoms (fractional coordinates):
Hf (0.500, 0.500, 0.500)  0.47
Sc (0.000, 0.500, 0.000)  0.01
Sc (0.000, 0.000, 0.500)  0.07
Sc (0.500, 0.000, 0.000)  0.06
Hg (0.000, 0.000, 0.000)  -0.03

=====

12.
A plane-wave DFT calculation with PBE was carried out for a relaxed structure of CsBa2S2.

## Properties
Raw formation energy   -1194 meV per atom

Unit cell a=9.128 b=9.128 c=3.920 alpha=90.00 beta=90.00 gamma=90.00
Atoms (fractional coordinates):
Ba (0.863, 0.637, 0.000)
Ba (0.137, 0.363, 0.000)
Ba (0.363, 0.863, 0.000)
Ba (0.637, 0.137, 0.000)
S (0.660, 0.840, 0.500)
S (0.840, 0.340, 0.500)
S (0.340, 0.160, 0.500)
S (0.160, 0.660, 0.500)
Cs (0.500, 0.500, 0.000)
Cs (0.000, 0.000, 0.000)

=====

13.
A plane-wave DFT calculation with PBE was carried out for a relaxed structure of K2HgPt.

## Properties
ΔE_f   -0.134 eV/atom

Unit cell a=4.674 b=4.857 c=6.435 alpha=67.92 beta=90.00 gamma=90.00
Atoms (fractional coordinates):
K (0.000, 0.979, 0.917)
K (0.500, 0.267, 0.339)
Hg (0.500, 0.564, 0.747)
Pt (0.000, 0.689, 0.497)

=====

14.
A plane-wave DFT calculation with PBE was carried out for a relaxed structure of LuBeRh.

## Properties
ΔE_f   -0.638 eV/atom

Unit cell a=3.834 b=3.900 c=3.900 alpha=120.00 beta=90.00 gamma=90.00
Atoms (fractional coordinates):
Rh (0.167, 0.000, 0.000)
Lu (0.667, 0.333, 0.667)
Be (0.167, 0.667, 0.333)

=====

15.
A plane-wave DFT calculation with PBE was carried out for a relaxed structure of Sr2Zn4Pt3Rh.

## Properties
ΔE_f   -0.631 eV/atom

Unit cell a=4.313 b=4.313 c=10.672 alpha=90.00 beta=90.00 gamma=90.00
Atoms (fractional coordinates):
Sr (0.500, 0.000, 0.261)
Sr (0.000, 0.500, 0.739)
Pt (0.500, 0.000, 0.866)
Pt (0.000, 0.500, 0.134)
Pt (0.000, 0.000, 0.500)
Zn (0.500, 0.000, 0.628)
Zn (0.000, 0.500, 0.372)
Zn (0.500, 0.500, 0.000)
Zn (0.000, 0.000, 0.000)
Rh (0.500, 0.500, 0.500)

=====

16.
A plane-wave DFT calculation with PBE was carried out for a relaxed structure of FeSi4Te.

## Properties
Raw formation energy   701 meV per atom

Unit cell a=5.222 b=5.222 c=5.222 alpha=60.00 beta=60.00 gamma=60.00
Last column: magnetic moment on the atom in μB.
Atoms (fractional coordinates):
Si (0.626, 0.122, 0.626)  0.01
Si (0.122, 0.626, 0.626)  0.01
Si (0.626, 0.626, 0.122)  0.01
Si (0.626, 0.626, 0.626)  0.01
Fe (0.000, 0.000, 0.000)  3.02
Te (0.250, 0.250, 0.250)  0.01

=====

17.
A plane-wave DFT calculation with PBE was carried out for a relaxed structure of BaScCO2.

## Properties
Raw formation energy   -1286 meV per atom

Unit cell a=4.243 b=4.478 c=4.243 alpha=90.00 beta=90.00 gamma=90.00
Last column: magnetic moment on the atom in μB.
Atoms (fractional coordinates):
Sc (0.000, 0.000, 0.000)  0.03
O (0.500, 0.000, 0.000)  0.17
O (0.000, 0.000, 0.500)  0.16
Ba (0.500, 0.500, 0.500)  0.09
C (0.000, 0.500, 0.000)  0.84

=====

18.
A plane-wave DFT calculation with PBE was carried out for a relaxed structure of InTeSe2.

## Properties
Raw formation energy   231 meV per atom
Distance to the lowest polymorph of the same formula   449 meV per atom

Unit cell a=2.949 b=2.949 c=13.638 alpha=90.00 beta=90.00 gamma=90.00
Atoms (fractional coordinates):
Se (0.000, 0.000, 0.955)
Se (0.500, 0.500, 0.237)
Te (0.000, 0.000, 0.531)
In (0.500, 0.500, 0.777)

=====

19.
A plane-wave DFT calculation with PBE was carried out for a relaxed structure of CoCuHg2.

## Properties
ΔE_f   0.514 eV/atom
Distance to the lowest polymorph of the same formula   170 meV per atom

Unit cell a=4.568 b=4.568 c=4.568 alpha=60.00 beta=60.00 gamma=60.00
Last column: magnetic moment on the atom in μB.
Atoms (fractional coordinates):
Co (0.500, 0.500, 0.500)  1.48
Hg (0.250, 0.250, 0.250)  -0.03
Hg (0.000, 0.000, 0.000)  -0.01
Cu (0.750, 0.750, 0.750)  -0.01

=====

20.
A plane-wave DFT calculation with PBE was carried out for a relaxed structure of NaPuNp2Se4.

## Properties
Raw formation energy   -1254 meV per atom

Unit cell a=4.134 b=7.231 c=7.190 alpha=70.90 beta=90.00 gamma=90.00
Last column: magnetic moment on the atom in μB.
Atoms (fractional coordinates):
Se (0.000, 0.754, 0.751)  0.09
Se (0.000, 0.246, 0.249)  0.09
Se (0.500, 0.757, 0.245)  0.08
Se (0.500, 0.243, 0.755)  0.08
Na (0.000, 0.500, 0.500)  0.00
Np (0.500, 0.000, 0.500)  -4.20
Np (0.000, 0.000, 0.000)  -4.14
Pu (0.500, 0.500, 0.000)  -5.50